NdH7Rh4 after structural relaxation. Source: Alexandria via LeMat-Bulk, functional PBE.

Cell: 9.3035 5.4258 4.6527 Å, 90.00 90.00 90.00°
Sites, in units of the cell vectors:
Nd  0.0000  0.2304  0.0000
Nd  0.5000  0.7696  0.5000
H  0.0000  0.7675  0.6336
H  0.1044  0.1809  0.5095
H  0.1327  0.5899  0.3344
H  0.1826  0.9213  0.8839
H  0.3174  0.0787  0.3839
H  0.3673  0.4101  0.8344
H  0.3956  0.8191  0.0095
H  0.5000  0.2325  0.1336
H  0.6044  0.8191  0.0095
H  0.6327  0.4101  0.8344
H  0.6826  0.0787  0.3839
H  0.8174  0.9213  0.8839
H  0.8673  0.5899  0.3344
H  0.8956  0.1809  0.5095
Rh  0.1618  0.8861  0.5027
Rh  0.2410  0.6140  0.0063
Rh  0.2590  0.3860  0.5063
Rh  0.3382  0.1139  0.0027
Rh  0.6618  0.1139  0.0027
Rh  0.7410  0.3860  0.5063
Rh  0.7590  0.6140  0.0063
Rh  0.8382  0.8861  0.5027

Summary:
DFT total energy: -4.995 eV/atom
calculated volume: 234.86 Å³ per cell

Mg2Np3TiN6 after structural relaxation. Source: Alexandria via LeMat-Bulk, functional PBE.

Cell: 5.7563 5.7563 5.6122 Å, 99.77 99.77 120.02°
Sites, in units of the cell vectors:
Mg  0.1666  0.8334  0.0000
Mg  0.8334  0.1666  0.0000
Np  0.0000  0.0000  0.5000
Np  0.3299  0.6701  0.5000
Np  0.6701  0.3299  0.5000
Ti  0.5000  0.5000  0.0000
N  0.1036  0.4196  0.7633
N  0.2653  0.2653  0.2456
N  0.4196  0.1036  0.7633
N  0.5804  0.8964  0.2367
N  0.7347  0.7347  0.7544
N  0.8964  0.5804  0.2367

Summary:
DFT total energy: -9.370 eV/atom
calculated volume: 151.45 Å³ per cell
E_form (uncorrected): -1048 meV/atom

SrTaTiGa2 after structural relaxation. Source: Alexandria via LeMat-Bulk, functional PBE.

Cell: 5.2079 5.2079 4.7362 Å, 90.00 90.00 90.00°
Sites, in units of the cell vectors:
Sr  0.0000  0.0000  0.0000
Ta  0.5000  0.5000  0.5000
Ti  0.5000  0.5000  0.0000
Ga  0.0000  0.5000  0.5000
Ga  0.5000  0.0000  0.5000

Summary:
DFT total energy: -5.270 eV/atom
calculated volume: 128.46 Å³ per cell
E_form: 5.23 kcal/mol of atoms

CaPrSbPt after structural relaxation. Source: Alexandria via LeMat-Bulk, functional PBE.

Cell: 5.2850 5.2850 5.2850 Å, 60.00 60.00 60.00°
Sites, in units of the cell vectors:
Ca  0.0000  0.0000  0.0000
Pr  0.5000  0.5000  0.5000
Sb  0.7500  0.7500  0.7500
Pt  0.2500  0.2500  0.2500

Summary:
DFT total energy: -5.144 eV/atom
calculated volume: 104.38 Å³ per cell
E_form (uncorrected): -908 meV/atom

Among the records above, which one has the lowest calculated volume? CaPrSbPt

The lowest calculated volume belongs to which entry? CaPrSbPt

Look up the calculated volume of the first one. 234.86 Å³ per cell

calculated volume of number 2 (Mg2Np3TiN6)? 151.45 Å³ per cell